Entry from Alexandria via LeMat-Bulk: a relaxed Ba2NaGa crystal (GGA-PBE).

Unit cell a=6.069 b=6.069 c=4.280 alpha=90.00 beta=90.00 gamma=90.00
Atoms (fractional coordinates):
Ba (0.000, 0.500, 0.000)
Ba (0.500, 0.000, 0.000)
Na (0.000, 0.000, 0.500)
Ga (0.500, 0.500, 0.500)

Output
V   39.42 Å³ per atom
Total energy   -2.172 eV/atom
Symmetry   P4/mmm (123)